Computed, not measured: crystalline La4PmDy5 at its relaxed geometry at the PBE level of DFT.

The structure in POSCAR format:
```
La4PmDy5
1.0
3.470 0.000 -0.793
-0.045 11.505 -0.195
0.190 0.116 8.816
Dy La Pm
5 4 1
direct
0.174 0.949 0.348 Dy
0.826 0.051 0.652 Dy
0.500 0.500 0.000 Dy
0.173 0.547 0.345 Dy
0.827 0.453 0.655 Dy
0.033 0.749 0.067 La
0.661 0.250 0.323 La
0.967 0.251 0.933 La
0.339 0.750 0.677 La
0.500 0.000 0.000 Pm
```

ΔE to the lowest computed polymorph: 7 meV per atom
Formation energy from the elements: 0.192 eV per atom
Total DFT energy (no corrections): -45.55 eV per cell
Fermi-level density of states: 15.4 states/eV per cell
V: 353.76 Å³/cell

Computed, not measured: crystalline Ba3Mg5Bi12 at its relaxed geometry at the PBE level of DFT.

The structure in POSCAR format:
```
Ba3Mg5Bi12
1.0
16.213 0.000 0.000
-5.404 15.285 0.000
-5.404 -7.643 13.238
Mg Bi Ba
20 48 12
direct
0.000 0.000 0.000 Mg
0.000 0.000 0.500 Mg
0.625 0.750 0.875 Mg
0.375 0.125 0.750 Mg
0.625 0.875 0.250 Mg
0.500 0.500 0.500 Mg
0.000 0.500 0.000 Mg
0.250 0.375 0.625 Mg
0.875 0.250 0.625 Mg
0.250 0.875 0.125 Mg
0.750 0.625 0.375 Mg
0.500 0.500 0.000 Mg
0.125 0.375 0.250 Mg
0.875 0.625 0.750 Mg
0.500 0.000 0.500 Mg
0.125 0.750 0.375 Mg
0.000 0.500 0.500 Mg
0.375 0.250 0.125 Mg
0.750 0.125 0.875 Mg
0.500 0.000 0.000 Mg
0.801 0.491 0.434 Bi
0.434 0.991 0.801 Bi
0.367 0.301 0.310 Bi
0.566 0.557 0.867 Bi
0.199 0.509 0.566 Bi
0.867 0.810 0.801 Bi
0.509 0.310 0.943 Bi
0.491 0.801 0.934 Bi
0.443 0.434 0.633 Bi
0.066 0.367 0.057 Bi
0.991 0.434 0.301 Bi
0.066 0.699 0.509 Bi
0.190 0.057 0.991 Bi
0.943 0.133 0.934 Bi
0.310 0.509 0.443 Bi
0.867 0.057 0.566 Bi
0.633 0.934 0.443 Bi
0.491 0.690 0.057 Bi
0.009 0.443 0.810 Bi
0.443 0.009 0.310 Bi
0.199 0.690 0.133 Bi
0.509 0.199 0.066 Bi
0.133 0.190 0.199 Bi
0.301 0.367 0.810 Bi
0.690 0.491 0.557 Bi
0.557 0.991 0.690 Bi
0.699 0.633 0.190 Bi
0.633 0.699 0.690 Bi
0.557 0.566 0.367 Bi
0.434 0.443 0.133 Bi
0.009 0.566 0.699 Bi
0.934 0.301 0.491 Bi
0.133 0.943 0.434 Bi
0.057 0.867 0.066 Bi
0.057 0.190 0.491 Bi
0.566 0.009 0.199 Bi
0.801 0.310 0.867 Bi
0.190 0.133 0.699 Bi
0.310 0.801 0.367 Bi
0.810 0.867 0.301 Bi
0.943 0.810 0.509 Bi
0.699 0.066 0.009 Bi
0.934 0.633 0.943 Bi
0.301 0.934 0.991 Bi
0.690 0.199 0.633 Bi
0.991 0.557 0.190 Bi
0.810 0.943 0.009 Bi
0.367 0.066 0.557 Bi
0.875 0.125 0.250 Ba
0.125 0.250 0.875 Ba
0.125 0.875 0.750 Ba
0.625 0.250 0.375 Ba
0.250 0.625 0.875 Ba
0.875 0.750 0.125 Ba
0.750 0.375 0.125 Ba
0.250 0.125 0.375 Ba
0.750 0.875 0.625 Ba
0.625 0.375 0.750 Ba
0.375 0.750 0.625 Ba
0.375 0.625 0.250 Ba
```

Formation energy from the elements: -0.047 eV per atom
Total DFT energy (no corrections): -245.02 eV per cell
Fermi-level density of states: 86.1 states/eV per cell
V: 3280.47 Å³/cell

Computed, not measured: crystalline Pa2Bi2H at its relaxed geometry at the PBE level of DFT.

The structure in POSCAR format:
```
Pa2Bi2H
1.0
4.010 0.000 0.000
-2.005 5.685 0.000
0.000 0.000 11.294
Bi Pa H
4 4 2
direct
0.644 0.288 0.338 Bi
0.079 0.158 0.633 Bi
0.356 0.712 0.838 Bi
0.921 0.842 0.133 Bi
0.077 0.154 0.906 Pa
0.923 0.846 0.406 Pa
0.201 0.401 0.106 Pa
0.799 0.599 0.606 Pa
0.641 0.283 0.002 H
0.359 0.717 0.502 H
```

Total DFT energy (no corrections): -60.02 eV per cell
Fermi-level density of states: 11.9 states/eV per cell
V: 257.46 Å³/cell

Computed, not measured: crystalline TbVCo2 at its relaxed geometry at the PBE level of DFT.

The structure in POSCAR format:
```
TbVCo2
1.0
-2.437 -0.532 -1.594
1.625 -1.461 -1.997
-0.989 -5.825 3.456
Co Tb V
2 1 1
direct
0.000 0.000 0.189 Co
0.000 0.000 0.811 Co
0.500 0.500 0.500 Tb
0.500 0.500 0.000 V
```

ΔE to the lowest computed polymorph: 37 meV per atom
Formation energy from the elements: -0.052 eV per atom
Total DFT energy (no corrections): -28.17 eV per cell
Fermi-level density of states: 4.2 states/eV per cell
V: 59.98 Å³/cell